No. 1
! TaFeRhCl2 PBE relaxed; values from VASP
! Calculated total energy in eV for the cell shown: -27.196
! Uncorrected formation energy in eV/f.u.: 4.2
! Density in g/cm3: 7.38
! Fermi-level density of states in states/eV per atom: 0.971
! SG: P4/mmm, No. 123
! Energy above the most stable polymorph in this dataset in eV/atom: 0.000
&SYSTEM
  ibrav = 0, nat = 5, ntyp = 4
/
ATOMIC_SPECIES
Cl 35.45 Cl.upf
Rh 102.91 Rh.upf
Fe 55.84 Fe.upf
Ta 180.95 Ta.upf
CELL_PARAMETERS angstrom
4.206 0.000 0.000
0.000 5.223 0.000
0.000 0.000 4.206
ATOMIC_POSITIONS angstrom
Cl 0.000 0.000 2.103
Cl 2.103 0.000 0.000
Rh 2.103 2.611 2.103
Fe 0.000 0.000 0.000
Ta 0.000 2.611 0.000

No. 2
! RbBi2Pd PBE relaxed; values from VASP
! Calculated total energy in eV for the cell shown: -15.096
! Calculated formation energy in eV per atom: -0.29
! Density in g/cm3: 7.42
! Fermi-level density of states in states/eV per atom: 0.346
! SG: R-3m, No. 166
! Energy above the most stable polymorph in this dataset in eV/atom: 0.002
&SYSTEM
  ibrav = 0, nat = 4, ntyp = 3
/
ATOMIC_SPECIES
Rb 85.47 Rb.upf
Bi 208.98 Bi.upf
Pd 106.42 Pd.upf
CELL_PARAMETERS angstrom
4.476 0.000 0.000
2.238 3.876 0.000
2.238 1.292 7.866
ATOMIC_POSITIONS angstrom
Rb 4.476 2.584 3.933
Bi 2.238 1.292 1.151
Bi 6.714 3.876 6.714
Pd 0.000 0.000 0.000

No. 3
! AlIn2Sn PBE relaxed; values from VASP
! Calculated total energy in eV for the cell shown: -12.597
! Calculated formation energy in eV per atom: 0.16
! Density in g/cm3: 6.24
! Fermi-level density of states in states/eV per atom: 0.653
! SG: P4/mmm, No. 123
&SYSTEM
  ibrav = 0, nat = 4, ntyp = 3
/
ATOMIC_SPECIES
Al 26.98 Al.upf
Sn 118.71 Sn.upf
In 114.82 In.upf
CELL_PARAMETERS angstrom
3.622 0.000 0.000
0.000 3.622 0.000
0.000 0.000 7.611
ATOMIC_POSITIONS angstrom
Al 1.811 1.811 0.000
Sn 1.811 1.811 3.805
In 0.000 0.000 5.886
In 0.000 0.000 1.725

No. 4
! MgSbBr2 PBE relaxed; values from VASP
! Calculated total energy in eV for the cell shown: -11.498
! Uncorrected formation energy in eV/f.u.: -2.4
! Density in g/cm3: 4.25
! Fermi-level density of states in states/eV per atom: 0.523
! SG: Cm, No. 8
! Energy above the most stable polymorph in this dataset in eV/atom: 0.154
&SYSTEM
  ibrav = 0, nat = 4, ntyp = 3
/
ATOMIC_SPECIES
Br 79.90 Br.upf
Mg 24.30 Mg.upf
Sb 121.76 Sb.upf
CELL_PARAMETERS angstrom
6.173 -0.018 0.030
5.177 3.363 0.030
1.116 0.329 5.735
ATOMIC_POSITIONS angstrom
Br 1.289 0.380 5.648
Br 10.048 2.961 3.597
Mg 6.287 1.853 3.568
Sb 2.192 0.646 1.614

No. 5
! KSmMg4 PBE relaxed; values from VASP
! Calculated total energy in eV for the cell shown: -11.522
! Calculated formation energy in eV per atom: 0.11
! Density in g/cm3: 2.70
! Fermi-level density of states in states/eV per atom: 1.017
! SG: F-43m, No. 216
&SYSTEM
  ibrav = 0, nat = 6, ntyp = 3
/
ATOMIC_SPECIES
K 39.10 K.upf
Mg 24.30 Mg.upf
Sm 150.36 Sm.upf
CELL_PARAMETERS angstrom
-4.657 -3.478 -2.415
0.910 -3.207 -5.339
0.372 -6.282 0.127
ATOMIC_POSITIONS angstrom
K -0.844 -3.242 -1.907
Mg -2.302 -4.947 -4.841
Mg -2.574 -6.501 -2.079
Mg -2.114 -8.121 -4.777
Mg 0.239 -6.364 -3.557
Sm 0.000 0.000 0.000

No. 6
! PrGaCuPd3 PBE relaxed; values from VASP
! Calculated total energy in eV for the cell shown: -60.538
! Calculated formation energy in eV per atom: -0.46
! Density in g/cm3: 8.94
! Fermi-level density of states in states/eV per atom: 0.392
! SG: Cmcm, No. 63
&SYSTEM
  ibrav = 0, nat = 12, ntyp = 4
/
ATOMIC_SPECIES
Pr 140.91 Pr.upf
Ga 69.72 Ga.upf
Cu 63.55 Cu.upf
Pd 106.42 Pd.upf
CELL_PARAMETERS angstrom
5.868 0.000 0.000
0.000 5.720 0.000
0.000 -2.860 6.567
ATOMIC_POSITIONS angstrom
Pr 4.401 0.000 4.161
Pr 1.467 2.860 2.407
Ga 1.467 0.000 4.931
Ga 4.401 2.860 1.636
Cu 1.467 2.860 5.101
Cu 4.401 0.000 1.467
Pd 1.467 0.000 2.284
Pd 0.000 1.442 0.000
Pd 2.934 4.278 0.000
Pd 2.934 1.442 0.000
Pd 0.000 4.278 0.000
Pd 4.401 2.860 4.284

No. 7
! CeEr3Bi2 PBE relaxed; values from VASP
! Calculated total energy in eV for the cell shown: -59.938
! Calculated formation energy in eV per atom: -0.43
! Density in g/cm3: 9.50
! Fermi-level density of states in states/eV per atom: 1.921
! SG: C2/m, No. 12
&SYSTEM
  ibrav = 0, nat = 12, ntyp = 3
/
ATOMIC_SPECIES
Ce 140.12 Ce.upf
Er 167.26 Er.upf
Bi 208.98 Bi.upf
CELL_PARAMETERS angstrom
4.314 0.000 0.000
-2.157 10.603 -0.660
0.000 -5.404 8.435
ATOMIC_POSITIONS angstrom
Ce 2.157 3.420 7.037
Ce 0.000 1.779 0.738
Er 0.000 3.840 3.890
Er 2.157 6.395 4.088
Er 2.157 -1.416 6.545
Er 0.000 6.615 1.230
Er 0.000 -1.196 3.687
Er 2.157 1.359 3.885
Bi 0.000 5.925 6.260
Bi 2.157 -0.727 1.515
Bi 2.157 4.189 1.460
Bi 0.000 1.010 6.315

No. 8
! ReGe3Rh PBE relaxed; values from VASP
! Calculated total energy in eV for the cell shown: -29.739
! Calculated formation energy in eV per atom: 0.78
! Density in g/cm3: 7.79
! Fermi-level density of states in states/eV per atom: 0.492
! SG: Pm-3m, No. 221
! Energy above the most stable polymorph in this dataset in eV/atom: 0.000
&SYSTEM
  ibrav = 0, nat = 5, ntyp = 3
/
ATOMIC_SPECIES
Re 186.21 Re.upf
Ge 72.64 Ge.upf
Rh 102.91 Rh.upf
CELL_PARAMETERS angstrom
4.764 0.000 0.000
0.000 4.764 0.000
0.000 0.000 4.764
ATOMIC_POSITIONS angstrom
Re 0.000 0.000 0.000
Ge 0.000 2.382 0.000
Ge 0.000 0.000 2.382
Ge 2.382 0.000 0.000
Rh 2.382 2.382 2.382

No. 9
! In5Hg3 PBE relaxed; values from VASP
! Calculated total energy in eV for the cell shown: -14.475
! Calculated formation energy in eV per atom: 0.02
! Density in g/cm3: 9.14
! Fermi-level density of states in states/eV per atom: 0.518
! SG: P4/mmm, No. 123
! Energy above the most stable polymorph in this dataset in eV/atom: 0.000
&SYSTEM
  ibrav = 0, nat = 8, ntyp = 2
/
ATOMIC_SPECIES
In 114.82 In.upf
Hg 200.59 Hg.upf
CELL_PARAMETERS angstrom
-1.492 3.355 -0.412
-1.402 -1.024 -3.262
-13.030 -4.914 7.143
ATOMIC_POSITIONS angstrom
In -3.232 -1.219 1.772
In -9.561 -1.895 2.611
In -6.362 -0.688 0.858
In -9.798 -3.695 5.371
In 0.000 0.000 0.000
Hg -3.053 0.560 -0.957
Hg -12.871 -3.143 4.426
Hg -6.515 -2.457 3.572

No. 10
! Ba2HfRe PBE relaxed; values from VASP
! Calculated total energy in eV for the cell shown: -44.826
! Calculated formation energy in eV per atom: 0.96
! Density in g/cm3: 5.80
! Fermi-level density of states in states/eV per atom: 1.243
! SG: I-42d, No. 122
! Energy above the most stable polymorph in this dataset in eV/atom: 0.000
&SYSTEM
  ibrav = 0, nat = 8, ntyp = 3
/
ATOMIC_SPECIES
Re 186.21 Re.upf
Hf 178.49 Hf.upf
Ba 137.33 Ba.upf
CELL_PARAMETERS angstrom
-8.377 -1.114 -8.627
4.418 -10.862 -2.887
-3.538 -7.061 -4.105
ATOMIC_POSITIONS angstrom
Re 0.000 0.000 0.000
Re -6.947 -7.082 -9.244
Hf -1.980 -5.988 -5.757
Hf -0.550 -11.956 -6.375
Ba -7.050 -4.017 -8.305
Ba -6.065 -9.610 -11.009
Ba -4.920 -7.865 -6.886
Ba -9.754 -6.835 -10.777

No. 11
! Tl2CrSiSe4 PBE relaxed; values from VASP
! Calculated total energy in eV for the cell shown: -73.188
! Uncorrected formation energy in eV/f.u.: -2.9
! Density in g/cm3: 5.44
! Fermi-level density of states in states/eV per atom: 0.366
! SG: Fddd, No. 70
&SYSTEM
  ibrav = 0, nat = 16, ntyp = 4
/
ATOMIC_SPECIES
Tl 204.38 Tl.upf
Cr 52.00 Cr.upf
Si 28.09 Si.upf
Se 78.96 Se.upf
CELL_PARAMETERS angstrom
-5.795 -0.611 -2.192
-0.822 -4.963 -5.284
-5.127 -8.698 7.134
ATOMIC_POSITIONS angstrom
Tl -4.277 -5.498 3.996
Tl -6.645 -3.811 0.946
Tl -8.170 -10.489 2.419
Tl -6.471 -4.088 -3.857
Cr -7.321 -7.289 -0.719
Cr 0.000 0.000 0.000
Si -4.423 -6.983 0.377
Si -2.897 -0.305 -1.096
Se -3.088 -5.019 -4.183
Se -6.076 -8.981 4.817
Se -10.340 -12.279 0.298
Se -3.983 -2.264 -1.617
Se -5.054 -7.233 -1.820
Se -6.371 -7.005 1.598
Se -8.724 -9.281 -1.360
Se -3.338 -5.024 0.897

No. 12
! Pu2PaH6 PBE relaxed; values from VASP
! Calculated total energy in eV for the cell shown: -61.232
! Density in g/cm3: 11.04
! Fermi-level density of states in states/eV per atom: 1.971
! SG: I4/mmm, No. 139
&SYSTEM
  ibrav = 0, nat = 9, ntyp = 3
/
ATOMIC_SPECIES
Pu 244.00 Pu.upf
Pa 231.04 Pa.upf
H 1.01 H.upf
CELL_PARAMETERS angstrom
3.622 0.000 -0.764
-0.161 3.619 -0.764
-0.126 -0.131 8.376
ATOMIC_POSITIONS angstrom
Pu 1.072 1.120 5.083
Pu 2.264 2.367 1.766
Pa 0.000 0.000 0.000
H 3.157 1.407 5.999
H 1.265 3.216 5.999
H 0.179 2.081 0.849
H 2.614 0.839 3.424
H 0.722 2.648 3.424
H 2.071 0.271 0.849